Record 1
DFT (GGA-PBE) results for a relaxed structure of AcLa3Tm4.

The structure belongs to space group Immm (No. 71); the cell edges are 3.487, 11.897 and 13.416 Å and the angles 90.00°, 90.00° and 90.00°. The distinct sites, in fractional coordinates, are Ac at (0.000, 0.000, 0.000), La at (0.000, 0.000, 0.500), La at (0.000, 0.500, 0.254) and Tm at (0.000, 0.252, 0.137).

The calculation puts the formation energy at 0.1674 eV/atom. Its crystal system is orthorhombic.

=====

Record 2
DFT (GGA-PBE) results for a relaxed structure of ScAg3Pd4.

The structure belongs to space group C2/m (No. 12); the cell edges are 5.930, 5.928 and 8.156 Å and the angles 90.00°, 111.22° and 90.00°. The distinct sites, in fractional coordinates, are Sc at (0.000, 0.000, 0.000), Ag at (0.000, 0.500, 0.000), Ag at (0.249, 0.500, 0.498) and Pd at (0.128, 0.250, 0.756).

The calculation puts the formation energy at -0.3825 eV/atom. Its crystal system is monoclinic.

=====

Record 3
DFT (GGA-PBE) results for a relaxed structure of Tm6InCu2.

The structure belongs to space group Immm (No. 71); the cell edges are 9.282, 9.662 and 10.135 Å and the angles 90.00°, 90.00° and 90.00°. The distinct sites, in fractional coordinates, are Tm at (0.000, 0.200, 0.238), Tm at (0.196, 0.500, 0.178), Tm at (0.216, 0.314, 0.500), In at (0.000, 0.000, 0.000), In at (0.000, 0.000, 0.500), Cu at (0.000, 0.348, 0.000) and Cu at (0.000, 0.500, 0.380).

The calculation puts the formation energy at -0.2481 eV/atom. Its crystal system is orthorhombic.

=====

Record 4
DFT (GGA-PBE) results for a relaxed structure of RbSr2Ca.

The structure belongs to space group I-42d (No. 122); the cell edges are 10.783, 10.783 and 8.242 Å and the angles 90.00°, 90.00° and 90.00°. The distinct sites, in fractional coordinates, are Rb at (0.000, 0.000, 0.000), Sr at (0.241, 0.250, 0.625) and Ca at (0.000, 0.000, 0.500).

The calculation puts the formation energy at 0.3556 eV/atom. Its crystal system is tetragonal.

=====

Record 5
DFT (GGA-PBE) results for a relaxed structure of TbAlZn2.

The structure belongs to space group Cmmm (No. 65); the cell edges are 5.288, 9.166 and 3.434 Å and the angles 90.00°, 90.00° and 90.00°. The distinct sites, in fractional coordinates, are Tb at (0.000, 0.000, 0.000), Al at (0.000, 0.500, 0.500) and Zn at (0.250, 0.250, 0.500).

The calculation puts the formation energy at -0.1901 eV/atom. Its crystal system is orthorhombic.

=====

Record 6
DFT (GGA-PBE) results for a relaxed structure of La2ReIr.

The structure belongs to space group R3m (No. 160, hexagonal axes); the cell edges are 3.0687, 3.0687 and 32.3638 Å and the angles 90.00°, 90.00° and 120.00°. The distinct sites, in fractional coordinates, are La at (0.0000, 0.0000, 0.0000), La at (0.0000, 0.0000, 0.2243), Re at (0.0000, 0.0000, 0.4756) and Ir at (0.0000, 0.0000, 0.7481).

The calculation puts the formation energy at 0.5956 eV/atom. Its crystal system is trigonal.

=====

Record 7
DFT (GGA-PBE) results for a relaxed structure of AcHo2Rh.

The structure belongs to space group R-3m (No. 166, hexagonal axes); the cell edges are 3.8436, 3.8436 and 31.9270 Å and the angles 90.00°, 90.00° and 120.00°. The distinct sites, in fractional coordinates, are Ac at (0.0000, 0.0000, 0.0000), Ho at (0.0000, 0.0000, 0.1173) and Rh at (0.0000, 0.0000, 0.5000).

The calculation puts the formation energy at -0.2422 eV/atom. Its crystal system is trigonal.

=====

Record 8
DFT (GGA-PBE) results for a relaxed structure of LiDy2Hf.

The structure belongs to space group R3m (No. 160, hexagonal axes); the cell edges are 3.3484, 3.3484 and 33.2214 Å and the angles 90.00°, 90.00° and 120.00°. The distinct sites, in fractional coordinates, are Li at (0.0000, 0.0000, 0.0000), Dy at (0.0000, 0.0000, 0.2455), Dy at (0.0000, 0.0000, 0.4215) and Hf at (0.0000, 0.0000, 0.8335).

The calculation puts the formation energy at 0.1352 eV/atom. Its crystal system is trigonal.

=====

Record 9
DFT (GGA-PBE) results for a relaxed structure of KCuPb2F8.

The structure belongs to space group P-1 (No. 2); the cell edges are 4.471, 5.889 and 8.021 Å and the angles 87.89°, 84.55° and 86.75°. The distinct sites, in fractional coordinates, are K at (0.000, 0.000, 0.000), Cu at (0.000, 0.000, 0.500), Pb at (0.440, 0.500, 0.245), F at (0.064, 0.360, 0.766), F at (0.169, 0.125, 0.306), F at (0.304, 0.777, 0.500) and F at (0.483, 0.729, 0.995).

As for the uncorrected formation energy: -2.147 eV/atom. Its crystal system is triclinic.

=====

Record 10
DFT (GGA-PBE) results for a relaxed structure of LaAgSe2N.

The structure belongs to space group P4/mmm (No. 123); the cell edges are 5.949, 5.949 and 4.270 Å and the angles 90.00°, 90.00° and 90.00°. The distinct sites, in fractional coordinates, are La at (0.000, 0.000, 0.000), Ag at (0.500, 0.500, 0.500), Se at (0.000, 0.500, 0.000) and N at (0.000, 0.000, 0.500).

As for the uncorrected formation energy: 0.312 eV/atom. Its crystal system is tetragonal.

=====

Number 1: Fermi-level density of states 27.08 states/eV/cell. Number 2: Fermi-level density of states 3.37 states/eV/cell. Number 3: Fermi-level density of states 33.86 states/eV/cell. Number 4: Fermi-level density of states 31.55 states/eV/cell. Number 5: Fermi-level density of states 3.57 states/eV/cell. Number 6: Fermi-level density of states 16.73 states/eV/cell. Number 7: Fermi-level density of states 9.47 states/eV/cell. Number 8: Fermi-level density of states 13.97 states/eV/cell. Number 9: Fermi-level density of states 2.84 states/eV/cell. Number 10: Fermi-level density of states 4.11 states/eV/cell.